This record from the Alexandria database describes a geometry-optimized CsLiHCl structure. The functional is PBE.

```
data_CsLiHCl
_chemical_formula_sum 'Cs1 Li1 H1 Cl1'
_symmetry_space_group_name_H-M 'P 1'
_symmetry_Int_Tables_number 1
_cell_length_a 4.150
_cell_length_b 4.797
_cell_length_c 6.726
_cell_angle_alpha 94.83
_cell_angle_beta 90.21
_cell_angle_gamma 115.25
loop_
_symmetry_equiv_pos_as_xyz
'x,y,z'
loop_
_atom_site_label
_atom_site_type_symbol
_atom_site_fract_x
_atom_site_fract_y
_atom_site_fract_z
Cs1 Cs 0.000 0.000 0.000
Li1 Li 0.735 0.472 0.460
H1 H 0.699 0.401 0.197
Cl1 Cl 0.276 0.554 0.632
```

* final energy: -3.00 eV per atom
* magnetization: 0.044 μB per formula unit
* relative energy among the computed polymorphs: 0.03 eV/f.u.


This record from the Alexandria database describes a geometry-optimized CsLiHCl structure. The functional is PBE.

```
data_CsLiHCl
_chemical_formula_sum 'Cs3 Li3 H3 Cl3'
_symmetry_space_group_name_H-M 'R 3 m'
_symmetry_Int_Tables_number 160
_symmetry_space_group_name_Hall 'R 3 -2"'
_cell_length_a 4.2202
_cell_length_b 4.2202
_cell_length_c 20.6830
_cell_angle_alpha 90.00
_cell_angle_beta 90.00
_cell_angle_gamma 120.00
loop_
_atom_site_label
_atom_site_type_symbol
_atom_site_fract_x
_atom_site_fract_y
_atom_site_fract_z
Cs1 Cs 0.0000 0.0000 0.0000
Li1 Li 0.0000 0.0000 0.1779
H1 H 0.0000 0.0000 0.2639
Cl1 Cl 0.0000 0.0000 0.4671
```

* final energy: -2.98 eV per atom
* magnetization: 0.054 μB per formula unit
* relative energy among the computed polymorphs: 0.11 eV/f.u.


This record from the Alexandria database describes a geometry-optimized CsLiHCl structure. The functional is PBE.

```
data_CsLiHCl
_chemical_formula_sum 'Cs2 Li2 H2 Cl2'
_symmetry_space_group_name_H-M 'C 1 m 1'
_symmetry_Int_Tables_number 8
_cell_length_a 13.074
_cell_length_b 4.100
_cell_length_c 3.711
_cell_angle_alpha 90.00
_cell_angle_beta 106.01
_cell_angle_gamma 90.00
loop_
_symmetry_equiv_pos_as_xyz
'x,y,z'
'x,-y,z'
'x+1/2,y+1/2,z'
'x+1/2,-y+1/2,z'
loop_
_atom_site_label
_atom_site_type_symbol
_atom_site_fract_x
_atom_site_fract_y
_atom_site_fract_z
Cs1 Cs 0.000 0.000 0.000
Li1 Li 0.222 0.500 0.237
H1 H 0.136 0.500 0.640
Cl1 Cl 0.325 0.000 0.330
```

* final energy: -2.97 eV per atom
* magnetization: 0.035 μB per formula unit
* relative energy among the computed polymorphs: 0.15 eV/f.u.


This record from the Alexandria database describes a geometry-optimized Cs2LiHCl6 structure. The functional is PBE.

```
data_Cs2LiHCl6
_chemical_formula_sum 'Cs4 Li2 H2 Cl12'
_symmetry_space_group_name_H-M 'I 4/m m m'
_symmetry_Int_Tables_number 139
_symmetry_space_group_name_Hall '-I 4 2'
_cell_length_a 6.972
_cell_length_b 6.972
_cell_length_c 12.064
_cell_angle_alpha 90.00
_cell_angle_beta 90.00
_cell_angle_gamma 90.00
loop_
_atom_site_label
_atom_site_type_symbol
_atom_site_fract_x
_atom_site_fract_y
_atom_site_fract_z
Cs1 Cs 0.000 0.500 0.250
Li1 Li 0.000 0.000 0.000
H1 H 0.000 0.000 0.500
Cl1 Cl 0.000 0.000 0.189
Cl2 Cl 0.203 0.203 0.500
```

* final energy: -2.72 eV per atom
* magnetization: 2.000 μB per formula unit


This record from the Alexandria database describes a geometry-optimized CsLiHCl structure. The functional is PBE.

```
data_CsLiHCl
_chemical_formula_sum 'Cs1 Li1 H1 Cl1'
_symmetry_space_group_name_H-M 'P 1 m 1'
_symmetry_Int_Tables_number 6
_cell_length_a 4.296
_cell_length_b 4.161
_cell_length_c 6.498
_cell_angle_alpha 90.00
_cell_angle_beta 96.42
_cell_angle_gamma 90.00
loop_
_symmetry_equiv_pos_as_xyz
'x,y,z'
'x,-y,z'
loop_
_atom_site_label
_atom_site_type_symbol
_atom_site_fract_x
_atom_site_fract_y
_atom_site_fract_z
Cs1 Cs 0.000 0.000 0.000
Li1 Li 0.504 0.500 0.408
H1 H 0.535 0.500 0.137
Cl1 Cl 0.414 0.000 0.558
```

* final energy: -3.01 eV per atom
* magnetization: 0.000 μB per formula unit
* relative energy among the computed polymorphs: 0.00 eV/f.u.


This record from the Alexandria database describes a geometry-optimized CsLiHCl structure. The functional is PBE.

```
data_CsLiHCl
_chemical_formula_sum 'Cs2 Li2 H2 Cl2'
_symmetry_space_group_name_H-M 'C 1 m 1'
_symmetry_Int_Tables_number 8
_cell_length_a 12.023
_cell_length_b 4.297
_cell_length_c 3.914
_cell_angle_alpha 90.00
_cell_angle_beta 90.55
_cell_angle_gamma 90.00
loop_
_symmetry_equiv_pos_as_xyz
'x,y,z'
'x,-y,z'
'x+1/2,y+1/2,z'
'x+1/2,-y+1/2,z'
loop_
_atom_site_label
_atom_site_type_symbol
_atom_site_fract_x
_atom_site_fract_y
_atom_site_fract_z
Cs1 Cs 0.000 0.000 0.000
Li1 Li 0.234 0.500 0.493
H1 H 0.172 0.500 0.990
Cl1 Cl 0.340 0.000 0.495
```

* final energy: -2.96 eV per atom
* magnetization: 0.017 μB per formula unit
* relative energy among the computed polymorphs: 0.20 eV/f.u.


This record from the Alexandria database describes a geometry-optimized CsLiHCl2 structure. The functional is PBE.

```
data_CsLiHCl2
_chemical_formula_sum 'Cs1 Li1 H1 Cl2'
_symmetry_space_group_name_H-M 'P 4/m m m'
_symmetry_Int_Tables_number 123
_symmetry_space_group_name_Hall '-P 4 2'
_cell_length_a 6.283
_cell_length_b 6.283
_cell_length_c 4.222
_cell_angle_alpha 90.00
_cell_angle_beta 90.00
_cell_angle_gamma 90.00
loop_
_atom_site_label
_atom_site_type_symbol
_atom_site_fract_x
_atom_site_fract_y
_atom_site_fract_z
Cs1 Cs 0.000 0.000 0.000
Li1 Li 0.500 0.500 0.500
H1 H 0.000 0.000 0.500
Cl1 Cl 0.000 0.500 0.000
```

* final energy: -2.44 eV per atom
* magnetization: 0.000 μB per formula unit


This record from the Alexandria database describes a geometry-optimized CsLiHCl structure. The functional is PBE.

```
data_CsLiHCl
_chemical_formula_sum 'Cs2 Li2 H2 Cl2'
_symmetry_space_group_name_H-M 'C 1 m 1'
_symmetry_Int_Tables_number 8
_cell_length_a 14.868
_cell_length_b 3.739
_cell_length_c 5.124
_cell_angle_alpha 90.00
_cell_angle_beta 108.15
_cell_angle_gamma 90.00
loop_
_symmetry_equiv_pos_as_xyz
'x,y,z'
'x,-y,z'
'x+1/2,y+1/2,z'
'x+1/2,-y+1/2,z'
loop_
_atom_site_label
_atom_site_type_symbol
_atom_site_fract_x
_atom_site_fract_y
_atom_site_fract_z
Cs1 Cs 0.000 0.000 0.000
Li1 Li 0.249 0.500 0.740
H1 H 0.309 0.000 0.804
Cl1 Cl 0.087 0.500 0.579
```

* final energy: -2.94 eV per atom
* magnetization: 0.000 μB per formula unit
* relative energy among the computed polymorphs: 0.27 eV/f.u.